# 1
This record from Alexandria via LeMat-Bulk describes a geometry-optimized Tb2HoPt structure. The functional is GGA-PBE.

Computed properties:
Calculated volume (Å³ per atom): 31.19
Total DFT energy (no corrections) (eV/atom): -5.2511
Energy of formation from the pure elements (kJ/mol of atoms): -27

abc: 3.6948 3.6948 31.6599
angles: 90.00 90.00 120.00
With the nearest neighbours (Å) after each atom.
Space group R-3m (No. 166, hexagonal axes)
Asymmetric unit:
Tb: 0.0000 0.0000 0.1091 x6  3 Pt 2.81
Ho: 0.0000 0.0000 0.0000 x3  2 Tb 3.46, 6 Ho 3.69
Pt: 0.0000 0.0000 0.5000 x3  6 Tb 2.81

# 2
This record from Alexandria via LeMat-Bulk describes a geometry-optimized Pm8Co3Ag2 structure. The functional is GGA-PBE.

Computed properties:
Calculated volume (Å³ per atom): 29.67
Total DFT energy (no corrections) (eV/atom): -5.0292
Energy of formation from the pure elements (kJ/mol of atoms): -3

abc: 7.7811 4.0058 12.7843
angles: 90.00 104.54 90.00
With the nearest neighbours (Å) after each atom.
Space group P2/m (No. 10)
Asymmetric unit:
Pm: 0.0783 0.0000 0.3819 x2  1 Co 2.58
Pm: 0.1652 0.5000 0.8619 x2  3 Co 2.76-2.78
Pm: 0.3473 0.5000 0.6168 x2  2 Co 2.71
Pm: 0.4213 0.0000 0.1260 x2  3 Co 2.73-2.76
Co: 0.2468 0.0000 0.7309 x2  6 Pm 2.58-2.78
Co: 0.5000 0.5000 0.0000 x1  6 Pm 2.73-2.76
Ag: 0.2499 0.5000 0.2602 x2  6 Pm 3.04-3.21

# 3
This record from Alexandria via LeMat-Bulk describes a geometry-optimized Ce2PmTh2 structure. The functional is GGA-PBE.

Computed properties:
Calculated volume (Å³ per atom): 30.53
Total DFT energy (no corrections) (eV/atom): -6.2542
Energy of formation from the pure elements (kJ/mol of atoms): 4

abc: 3.5135 3.5135 42.8353
angles: 90.00 90.00 120.00
With the nearest neighbours (Å) after each atom.
Space group R-3m (No. 166, hexagonal axes)
Asymmetric unit:
Ce: 0.0000 0.0000 0.1985 x6  9 Ce 3.40-3.51, 3 Th 3.45
Pm: 0.0000 0.0000 0.0000 x3  6 Pm 3.51, 6 Th 3.61
Th: 0.0000 0.0000 0.4031 x6  3 Ce 3.45, 6 Th 3.51, 3 Pm 3.61

# 4
This record from Alexandria via LeMat-Bulk describes a geometry-optimized BaMg2Pt structure. The functional is GGA-PBE.

Computed properties:
Calculated volume (Å³ per atom): 29.38
Total DFT energy (no corrections) (eV/atom): -3.0876
Energy of formation from the pure elements (kJ/mol of atoms): -29

abc: 4.9990 6.0091 7.8256
angles: 90.00 90.00 90.00
With the nearest neighbours (Å) after each atom.
Space group Imm2 (No. 44)
Asymmetric unit:
Ba: 0.0000 0.0000 0.0000 x2  2 Pt 3.23, 5 Mg 3.35-3.57
Mg: 0.0000 0.0000 0.5441 x2  2 Pt 2.64
Mg: 0.0000 0.5000 0.8120 x2  1 Pt 2.66
Pt: 0.0000 0.5000 0.1513 x2  3 Mg 2.64-2.66

# 5
This record from Alexandria via LeMat-Bulk describes a geometry-optimized Sr2H3Pd17 structure. The functional is GGA-PBE.

Computed properties:
Calculated volume (Å³ per atom): 15.56
Total DFT energy (no corrections) (eV/atom): -4.8640

abc: 9.3211 9.3211 13.6465
angles: 90.00 90.00 120.00
With the nearest neighbours (Å) after each atom.
Space group R-3m (No. 166, hexagonal axes)
Asymmetric unit:
Sr: 0.0000 0.0000 0.1620 x6  3 H 2.69
H: 0.0000 0.5000 0.5000 x9  4 Pd 1.89-2.08
Pd: 0.0000 0.0000 0.4013 x6  7 Pd 2.69-2.91
Pd: 0.0000 0.2971 0.5000 x18  1 H 1.89
Pd: 0.0000 0.5000 0.0000 x9  10 Pd 2.68-2.85
Pd: 0.0000 0.5000 0.3474 x18  1 H 2.08

# 6
This record from Alexandria via LeMat-Bulk describes a geometry-optimized Ac2PrSc structure. The functional is GGA-PBE.

Computed properties:
Calculated volume (Å³ per atom): 37.13
Total DFT energy (no corrections) (eV/atom): -4.7005
Energy of formation from the pure elements (kJ/mol of atoms): 13

abc: 8.4068 8.4068 8.4068
angles: 90.00 90.00 90.00
With the nearest neighbours (Å) after each atom.
Space group Fm-3m (No. 225)
Asymmetric unit:
Ac: 0.2500 0.2500 0.2500 x8  4 Pr 3.64, 4 Sc 3.64
Pr: 0.0000 0.0000 0.0000 x4  8 Ac 3.64
Sc: 0.0000 0.0000 0.5000 x4  8 Ac 3.64

# 7
This record from Alexandria via LeMat-Bulk describes a geometry-optimized Pr12In5Ge3 structure. The functional is GGA-PBE.

Computed properties:
Calculated volume (Å³ per atom): 37.31
Total DFT energy (no corrections) (eV/atom): -4.2288
Energy of formation from the pure elements (kJ/mol of atoms): 2

abc: 18.1412 18.1412 18.1412
angles: 90.00 90.00 90.00
With the nearest neighbours (Å) after each atom.
Space group Ia-3d (No. 230)
Asymmetric unit:
Pr: 0.0134 0.0785 0.6510 x96  2 In 3.06-3.10, 2 Ge 3.16-3.40, 1 Pr 3.34
In: 0.0000 0.0000 0.0000 x16  6 Pr 3.10
In: 0.0000 0.2500 0.3750 x24  4 Pr 3.06
Ge: 0.0000 0.2500 0.1250 x24  8 Pr 3.16-3.40

# 8
This record from Alexandria via LeMat-Bulk describes a geometry-optimized Pm2Ho5ThSc structure. The functional is GGA-PBE.

Computed properties:
Calculated volume (Å³ per atom): 32.10
Total DFT energy (no corrections) (eV/atom): -4.9560
Energy of formation from the pure elements (kJ/mol of atoms): 16

abc: 5.5867 22.5152 9.1877
angles: 90.00 90.00 90.00
With the nearest neighbours (Å) after each atom.
Space group Cmc2_1 (No. 36)
Asymmetric unit:
Pm: 0.0000 0.1157 0.0000 x4  1 Sc 3.30, 9 Ho 3.35-3.67
Pm: 0.0000 0.1389 0.4319 x4  1 Sc 3.24, 3 Ho 3.27-3.58, 2 Th 3.63
Ho: 0.0000 0.0020 0.7237 x4  3 Pm 3.35-3.70, 4 Ho 3.62-3.68, 2 Th 3.63
Ho: 0.0000 0.2668 0.0573 x4  1 Th 3.12, 3 Sc 3.21-3.25, 2 Ho 3.35, 1 Pm 3.44
Ho: 0.0000 0.2977 0.4332 x4  1 Th 3.33, 3 Sc 3.34-3.36, 4 Ho 3.35-3.61, 3 Pm 3.46-3.58
Ho: 0.0000 0.3870 0.7589 x4  2 Pm 3.27, 3 Ho 3.36-3.61
Ho: 0.0000 0.4783 0.4693 x4  2 Th 3.32, 6 Ho 3.36-3.68, 2 Pm 3.51
Th: 0.0000 0.3980 0.1666 x4  4 Ho 3.12-3.33
Sc: 0.0000 0.2139 0.7330 x4  6 Ho 3.21-3.36, 2 Pm 3.24-3.30

# 9
This record from Alexandria via LeMat-Bulk describes a geometry-optimized Cr2SiMo structure. The functional is GGA-PBE.

Computed properties:
Calculated volume (Å³ per atom): 12.92
Total DFT energy (no corrections) (eV/atom): -9.0026
Raw formation energy (kJ per mole of atoms): -12.3

abc: 4.0793 4.0793 3.1064
angles: 90.00 90.00 90.00
With the nearest neighbours (Å) after each atom.
Space group P4/mmm (No. 123)
Asymmetric unit:
Cr: 0.0000 0.5000 0.0000 x2  4 Mo 2.56, 4 Si 2.56
Si: 0.0000 0.0000 0.5000 x1  8 Cr 2.56
Mo: 0.5000 0.5000 0.5000 x1  8 Cr 2.56

# 10
This record from Alexandria via LeMat-Bulk describes a geometry-optimized Li5Ag12Ge2 structure. The functional is GGA-PBE.

Computed properties:
Calculated volume (Å³ per atom): 17.81
Total DFT energy (no corrections) (eV/atom): -2.8521
Energy of formation from the pure elements (kJ/mol of atoms): -6

abc: 13.2181 7.7426 6.6118
angles: 90.00 90.54 90.00
With the nearest neighbours (Å) after each atom.
Space group C2/m (No. 12)
Asymmetric unit:
Li: 0.0000 0.0000 0.0000 x2  10 Ag 2.92-3.07, 2 Li 3.21
Li: 0.1926 0.5000 0.5106 x4  8 Ag 2.80-3.00, 2 Ge 2.99, 1 Li 3.04
Li: 0.2401 0.0000 0.9279 x4  10 Ag 2.76-3.02, 1 Li 3.04
Ag: 0.0565 0.5000 0.1836 x4  2 Ge 2.72, 2 Li 2.80, 7 Ag 2.83-2.91
Ag: 0.0998 0.0000 0.6083 x4  2 Ge 2.75, 3 Li 2.80-2.92, 5 Ag 2.82-2.99
Ag: 0.1291 0.3000 0.8426 x8  4 Li 2.76-3.07, 5 Ag 2.82-2.91, 1 Ge 2.82
Ag: 0.1603 0.1856 0.2542 x8  5 Li 2.81-3.05, 1 Ge 2.82, 5 Ag 2.83-2.89
Ge: 0.0000 0.2974 0.5000 x4  8 Ag 2.72-2.82, 2 Li 2.99

# 11
This record from Alexandria via LeMat-Bulk describes a geometry-optimized LaHo2Al3 structure. The functional is GGA-PBE.

Computed properties:
Calculated volume (Å³ per atom): 24.44
Total DFT energy (no corrections) (eV/atom): -4.6033
Energy of formation from the pure elements (kJ/mol of atoms): -37

abc: 3.6364 3.6364 11.0886
angles: 90.00 90.00 90.00
With the nearest neighbours (Å) after each atom.
Space group P4/mmm (No. 123)
Asymmetric unit:
La: 0.0000 0.0000 0.0000 x1  8 Al 3.29, 4 La 3.64
Ho: 0.0000 0.0000 0.3410 x2  8 Al 3.09-3.12
Al: 0.5000 0.5000 0.1857 x2  4 Ho 3.09, 4 La 3.29
Al: 0.5000 0.5000 0.5000 x1  8 Ho 3.12, 2 Al 3.49

# 12
This record from Alexandria via LeMat-Bulk describes a geometry-optimized SnPd3Pt2 structure. The functional is GGA-PBE.

Computed properties:
Calculated volume (Å³ per atom): 16.86
Total DFT energy (no corrections) (eV/atom): -5.4668
Energy of formation from the pure elements (kJ/mol of atoms): -18

abc: 5.5916 13.8584 5.2230
angles: 90.00 90.00 90.00
With the nearest neighbours (Å) after each atom.
Space group Cmcm (No. 63)
Asymmetric unit:
Sn: 0.0000 0.1512 0.2500 x4  8 Pd 2.73-2.99, 4 Pt 2.85
Pd: 0.0000 0.3510 0.7500 x4  6 Pd 2.76-2.99, 2 Sn 2.80, 4 Pt 2.81
Pd: 0.2503 0.1796 0.7500 x8  3 Sn 2.73-2.99, 5 Pd 2.76-2.99, 2 Pt 2.81
Pt: 0.2470 0.5000 0.0000 x8  4 Pt 2.61-2.83, 4 Pd 2.81, 2 Sn 2.85

# 13
This record from Alexandria via LeMat-Bulk describes a geometry-optimized Cs4Rb3BaF8 structure. The functional is GGA-PBE.

Computed properties:
Calculated volume (Å³ per atom): 27.69
Total DFT energy (no corrections) (eV/atom): -4.0855
Raw formation energy (kJ per mole of atoms): -254.2

abc: 14.7160 8.4986 8.6203
angles: 90.00 124.72 90.00
With the nearest neighbours (Å) after each atom.
Space group C2/m (No. 12)
Asymmetric unit:
Cs: 0.0000 0.0000 0.0000 x2  6 F 3.41
Cs: 0.0000 0.5000 0.0000 x2  6 F 3.10-3.13
Cs: 0.2500 0.2500 0.0000 x4  6 F 3.10-3.13
Rb: 0.0000 0.0000 0.5000 x2  6 F 2.96-2.98
Rb: 0.2500 0.2500 0.5000 x4  6 F 2.96-2.98
Ba: 0.0000 0.5000 0.5000 x2  6 F 2.65
F: 0.0057 0.2757 0.2929 x8  1 Ba 2.65
F: 0.2188 0.5000 0.7074 x4  1 Ba 2.65
F: 0.2444 0.0000 0.7332 x4  3 Rb 2.96, 3 Cs 3.10

# 14
This record from Alexandria via LeMat-Bulk describes a geometry-optimized CdPbCl4 structure. The functional is GGA-PBE.

Computed properties:
Calculated volume (Å³ per atom): 30.98
Total DFT energy (no corrections) (eV/atom): -3.1008
Raw formation energy (kJ per mole of atoms): -106.0

abc: 12.7437 4.1032 7.2632
angles: 90.00 101.82 90.00
With the nearest neighbours (Å) after each atom.
Space group C2/m (No. 12)
Asymmetric unit:
Cd: 0.0000 0.0000 0.0000 x2  6 Cl 2.67-2.71
Pb: 0.0000 0.5000 0.5000 x2  6 Cl 2.92-2.93
Cl: 0.1136 0.5000 0.8933 x4  2 Cd 2.71, 1 Pb 2.93
Cl: 0.1205 0.0000 0.3470 x4  1 Cd 2.67, 2 Pb 2.92

# 15
This record from Alexandria via LeMat-Bulk describes a geometry-optimized CuRu structure. The functional is GGA-PBE.

Computed properties:
Calculated volume (Å³ per atom): 20.06
Total DFT energy (no corrections) (eV/atom): -4.8591
Energy of formation from the pure elements (kJ/mol of atoms): 176

abc: 5.4339 5.4339 5.4339
angles: 90.00 90.00 90.00
With the nearest neighbours (Å) after each atom.
Space group F-43m (No. 216)
Asymmetric unit:
Cu: 0.0000 0.0000 0.0000 x4  4 Ru 2.35
Ru: 0.2500 0.2500 0.7500 x4  4 Cu 2.35

# 16
This record from Alexandria via LeMat-Bulk describes a geometry-optimized FeTc structure. The functional is GGA-PBE.

Computed properties:
Calculated volume (Å³ per atom): 12.63
Total DFT energy (no corrections) (eV/atom): -9.2667
Energy of formation from the pure elements (kJ/mol of atoms): 14

abc: 2.6485 2.6485 8.3139
angles: 90.00 90.00 120.00
With the nearest neighbours (Å) after each atom.
Space group P-3m1 (No. 164)
Asymmetric unit:
Fe: 0.3333 0.6667 0.3862 x2  9 Fe 2.43-2.65, 3 Tc 2.56
Tc: 0.3333 0.6667 0.8602 x2  3 Fe 2.56, 9 Tc 2.65-2.78

# 17
This record from Alexandria via LeMat-Bulk describes a geometry-optimized TiAlSbI2 structure. The functional is GGA-PBE.

Computed properties:
Calculated volume (Å³ per atom): 33.56
Total DFT energy (no corrections) (eV/atom): -3.6345
Raw formation energy (kJ per mole of atoms): 13.3

abc: 5.5749 5.5749 5.3998
angles: 90.00 90.00 90.00
With the nearest neighbours (Å) after each atom.
Space group P4/mmm (No. 123)
Asymmetric unit:
Ti: 0.0000 0.0000 0.0000 x1  2 Sb 2.70, 4 I 2.79
Al: 0.5000 0.5000 0.5000 x1  8 I 3.88, 4 Sb 3.94
Sb: 0.0000 0.0000 0.5000 x1  2 Ti 2.70
I: 0.0000 0.5000 0.0000 x2  2 Ti 2.79

# 18
This record from Alexandria via LeMat-Bulk describes a geometry-optimized Ca5Ge3 structure. The functional is GGA-PBE.

Computed properties:
Calculated volume (Å³ per atom): 27.68
Total DFT energy (no corrections) (eV/atom): -3.6142
Energy of formation from the pure elements (kJ/mol of atoms): -61

abc: 7.7166 7.7166 14.8744
angles: 90.00 90.00 90.00
With the nearest neighbours (Å) after each atom.
Space group I4/mcm (No. 140)
Asymmetric unit:
Ca: 0.0000 0.0000 0.0000 x4  4 Ge 3.08
Ca: 0.1780 0.3220 0.1406 x16  5 Ge 3.05-3.27
Ge: 0.0000 0.0000 0.2500 x4  8 Ca 3.27
Ge: 0.1183 0.3817 0.5000 x8  1 Ge 2.58

# 19
This record from Alexandria via LeMat-Bulk describes a geometry-optimized RbIF3 structure. The functional is GGA-PBE.

Computed properties:
Calculated volume (Å³ per atom): 22.95
Total DFT energy (no corrections) (eV/atom): -3.1555
Raw formation energy (kJ per mole of atoms): -147.5

abc: 4.8592 4.8592 4.8592
angles: 90.00 90.00 90.00
With the nearest neighbours (Å) after each atom.
Space group Pm-3m (No. 221)
Asymmetric unit:
Rb: 0.0000 0.0000 0.0000 x1  12 F 3.44
I: 0.5000 0.5000 0.5000 x1  6 F 2.43
F: 0.0000 0.5000 0.5000 x3  2 I 2.43